# Hg2ClO

An optimized crystal structure of Hg2ClO (PBE, OQMD).

a b c (Å): 12.1666 6.0509 9.6359
angles (deg): 90.00 105.19 90.00
Closest atoms and distances in Å follow each position.
Space group C2/c (No. 15)
Inequivalent atoms, fractional coordinates:
Hg 0.0000 0.0942 0.2500  2 O 2.30
Hg 0.0521 0.3044 0.8968  2 O 2.29-2.51
Hg 0.2500 0.2500 0.5000  2 O 2.07
Cl 0.1939 0.2029 0.1445  2 Hg 2.63-2.88
O 0.0783 0.3254 0.4400  3 Hg 2.07-2.30

Computed properties:
Excess energy over the best structure of this formula in the dataset (kJ/mol of formula units): 0
Final energy (eV/atom): -2.251

=====

# Hg2Cl2O

An optimized crystal structure of Hg2Cl2O (PBE, OQMD).

a b c (Å): 7.3489 11.1864 11.7241
angles (deg): 90.00 90.00 90.00
Closest atoms and distances in Å follow each position.
Space group Fddd (No. 70, origin choice 2)
Inequivalent atoms, fractional coordinates:
Hg 0.0000 0.0000 0.0000  2 O 2.22
Cl 0.1250 0.3127 0.6250  2 Hg 2.72
O 0.1250 0.1250 0.1250  4 Hg 2.22

Computed properties:
Final energy (eV/atom): -2.254

=====

# Hg5Cl2O4

An optimized crystal structure of Hg5Cl2O4 (PBE, OQMD).

a b c (Å): 6.1359 11.6307 11.9566
angles (deg): 90.00 90.00 90.00
Closest atoms and distances in Å follow each position.
Space group Ibam (No. 72)
Inequivalent atoms, fractional coordinates:
Hg 0.0000 0.0000 0.2500  4 O 2.29
Hg 0.0000 0.3399 0.2500  2 O 2.07
Hg 0.2140 0.1405 0.0000  2 O 2.10
Cl 0.2249 0.3932 0.0000  4 Hg 2.90-3.16
O 0.1956 0.1486 0.1755  3 Hg 2.07-2.29

Computed properties:
Final energy (eV/atom): -2.655

=====

# Hg2ClO

An optimized crystal structure of Hg2ClO (PBE, OQMD).

a b c (Å): 12.5233 6.3041 9.7600
angles (deg): 90.00 106.47 90.00
Closest atoms and distances in Å follow each position.
Space group C2/c (No. 15)
Inequivalent atoms, fractional coordinates:
Hg 0.0000 0.2169 0.2500  2 O 2.08
Hg 0.0451 0.2568 0.8905  1 O 2.49, 1 Cl 2.52, 1 Hg 2.65
Hg 0.2500 0.2500 0.5000  2 O 2.05
Cl 0.1847 0.3208 0.1301  1 Hg 2.52
O 0.0848 0.1805 0.4648  2 Hg 2.05-2.08

Computed properties:
Excess energy over the best structure of this formula in the dataset (kJ/mol of formula units): 11
Final energy (eV/atom): -2.223

=====

# Hg3PClO4

An optimized crystal structure of Hg3PClO4 (PBE, OQMD).

a b c (Å): 8.3639 8.3639 8.3639
angles (deg): 90.00 90.00 90.00
Closest atoms and distances in Å follow each position.
Space group P2_13 (No. 198)
Inequivalent atoms, fractional coordinates:
Hg 0.0439 0.3905 0.3530  2 O 2.26-2.35
P 0.0179 0.5179 0.9821  4 O 1.53-1.58
Cl 0.2396 0.7604 0.2604  3 Hg 2.78
O 0.0933 0.1181 0.4029  1 P 1.58
O 0.1232 0.6232 0.8768  1 P 1.53

Computed properties:
Final energy (eV/atom): -4.203

=====

# SrHgPbCl2O2

An optimized crystal structure of SrHgPbCl2O2 (PBE, OQMD).

a b c (Å): 12.0624 3.9462 7.6646
angles (deg): 90.00 121.86 90.00
Closest atoms and distances in Å follow each position.
Space group Cm (No. 8)
Inequivalent atoms, fractional coordinates:
Sr 0.0000 0.0000 0.0000  3 O 2.47-2.54
Hg 0.3165 0.5000 0.2676  2 O 2.04-2.06
Pb 0.1261 0.5000 0.5010  3 O 2.34-2.38
Cl 0.2592 0.0000 0.9291  2 Hg 3.03, 2 Sr 3.31
Cl 0.4079 0.0000 0.6473  2 Sr 3.04, 2 Hg 3.19, 1 Pb 3.36
O 0.0061 0.0000 0.3369  1 Hg 2.06
O 0.1279 0.5000 0.1969  1 Hg 2.04

Computed properties:
Final energy (eV/atom): -4.282

=====

# Rb3Hg2S3ClO12

An optimized crystal structure of Rb3Hg2S3ClO12 (PBE, OQMD).

a b c (Å): 7.7955 9.7667 9.9107
angles (deg): 90.00 111.06 90.00
Closest atoms and distances in Å follow each position.
Space group P2_1 (No. 4)
Inequivalent atoms, fractional coordinates:
Rb 0.1027 0.0000 0.2673  7 O 2.84-3.07
Rb 0.3211 0.6293 0.1332  7 O 2.79-3.10
Rb 0.3300 0.8058 0.6841  3 O 2.81-2.89
Hg 0.2422 0.1780 0.9542  4 O 2.18-2.44
Hg 0.2704 0.3985 0.4928  1 O 2.14, 1 Cl 2.36
S 0.0253 0.3460 0.1116  4 O 1.46-1.54
S 0.0912 0.1408 0.6054  4 O 1.46-1.53
S 0.4468 0.4588 0.8574  4 O 1.46-1.53
Cl 0.4851 0.5643 0.4830  1 Hg 2.36
O 0.0122 0.3031 0.9586  1 S 1.54
O 0.0131 0.9953 0.8956  1 S 1.49
O 0.0356 0.9993 0.5534  1 S 1.48
O 0.0500 0.7159 0.3604  1 S 1.46
O 0.1091 0.7649 0.8509  1 S 1.46
O 0.1263 0.2090 0.4784  1 S 1.53
O 0.2178 0.3207 0.2118  1 S 1.49
O 0.2636 0.4604 0.7397  1 S 1.48
O 0.2712 0.1346 0.7304  1 S 1.50
O 0.4099 0.9051 0.1913  1 S 1.46
O 0.4387 0.3848 0.9867  1 S 1.49
O 0.4860 0.6089 0.9024  1 S 1.53

Computed properties:
Final energy (eV/atom): -5.095

=====

# Sm2HgCl2O2

An optimized crystal structure of Sm2HgCl2O2 (PBE, OQMD).

a b c (Å): 13.5931 3.7073 8.9032
angles (deg): 90.00 125.75 90.00
Closest atoms and distances in Å follow each position.
Space group C2/m (No. 12)
Inequivalent atoms, fractional coordinates:
Sm 0.1476 0.0000 0.0160  3 O 2.21-2.23
Hg 0.0000 0.0000 0.5000  2 O 3.06
Cl 0.0605 0.5000 0.2189  4 Sm 2.98-3.26, 1 Cl 3.23, 1 O 3.26
O 0.2442 0.0000 0.8820  3 Sm 2.21-2.23

Computed properties:
Final energy (eV/atom): -5.657

=====

final energy of number 7 (Rb3Hg2S3ClO12)? -5.095 eV/atom

=====

The lowest final energy belongs to which entry? Sm2HgCl2O2

=====

Among the records above, which one has the lowest final energy? Sm2HgCl2O2

=====

Look up the final energy of the sixth one. -4.282 eV/atom